[1]
Here is a crystal of K2CoP relaxed with PBEsol from Alexandria. Energies are from SCAN.

Results
Space group: P4/mmm (123)
Uncorrected energy (eV/cell): -42.6
Magnetization (μB per atom): 0.5554

Unit cell a=4.365 b=4.365 c=5.007 alpha=90.00 beta=90.00 gamma=90.00
Sites, in units of the cell vectors:
K 0.000 0.000 0.249
K 0.000 0.000 0.751
Co 0.500 0.500 0.500
P 0.500 0.500 0.000

---

[2]
Here is a crystal of MnSi2Mo relaxed with PBEsol from Alexandria. Energies are from SCAN.

Results
Space group: R-3m (166)
Uncorrected energy (eV/cell): -73.4
Magnetization (μB per atom): 0.2673
E_form (uncorrected) (eV per atom): -0.050

Unit cell a=8.069 b=8.069 c=8.069 alpha=19.46 beta=19.46 gamma=19.46
Sites, in units of the cell vectors:
Mn 0.000 0.000 0.000
Si 0.258 0.258 0.258
Si 0.742 0.742 0.742
Mo 0.500 0.500 0.500

---

Q: What is the magnetization in the second record?
A: 0.2673 μB per atom

---

Q: Among the records above, which one has the highest magnetization?
A: K2CoP

---

Q: The lowest uncorrected energy belongs to which entry?
A: MnSi2Mo

---

Q: Among the records above, which one has the highest uncorrected energy?
A: K2CoP